# 1
VASP calculation (PBE with a Hubbard U) on an optimized crystal structure of LiV2O4.

```
LiV2O4
1.0
4.650 3.265 1.721
-3.591 3.192 3.488
0.293 -5.904 0.546
Li V O
2 4 8
direct
0.500 0.500 0.500
0.500 0.000 0.000
0.000 0.000 0.000
0.500 0.000 0.500
0.879 0.629 0.250
0.121 0.371 0.750
0.748 0.756 0.508
0.250 0.762 0.488
0.774 0.762 0.012
0.252 0.760 0.008
0.748 0.240 0.992
0.226 0.238 0.988
0.750 0.238 0.512
0.252 0.244 0.492
```

Calculated values
Space group: No. 74
Excess energy over the best structure of this formula in the dataset (eV per atom): 0.0611

# 2
VASP calculation (PBE with a Hubbard U) on an optimized crystal structure of Li2V5O10.

```
Li2V5O10
1.0
5.125 -0.045 -0.012
1.177 5.066 -0.007
1.635 1.501 7.422
Li V O
2 5 10
direct
0.541 0.784 0.398
0.460 0.204 0.603
0.497 0.999 0.003
0.017 0.862 0.686
0.982 0.132 0.316
0.962 0.311 0.891
0.041 0.692 0.105
0.222 0.957 0.863
0.782 0.056 0.130
0.778 0.930 0.512
0.218 0.065 0.497
0.792 0.677 0.929
0.199 0.323 0.058
0.272 0.826 0.221
0.734 0.196 0.784
0.173 0.514 0.687
0.831 0.473 0.317
```

Calculated values
Space group: No. 1
E (eV per atom): -7.35

# 3
VASP calculation (PBE with a Hubbard U) on an optimized crystal structure of LiVO2.

```
LiVO2
1.0
-0.189 -2.694 2.384
-1.242 0.620 3.324
-3.208 -1.302 0.996
V O Li
1 2 1
direct
0.500 0.500 0.500
0.250 0.250 0.250
0.750 0.750 0.750
0.000 0.000 0.000
```

Calculated values
Space group: No. 225
E (eV per atom): -6.53

# 4
VASP calculation (PBE with a Hubbard U) on an optimized crystal structure of Li17V16O32.

```
Li17V16O32
1.0
8.498 0.002 -0.002
-0.010 8.498 -0.002
-4.219 -4.225 8.538
Li V O
17 16 32
direct
0.253 0.759 0.006
0.759 0.253 0.006
0.996 0.502 0.007
0.502 0.996 0.007
0.867 0.628 0.748
0.422 0.108 0.787
0.108 0.422 0.787
0.628 0.867 0.748
0.187 0.187 0.623
0.507 0.507 0.502
0.947 0.947 0.467
0.269 0.269 0.462
0.744 0.744 0.504
0.377 0.119 0.242
0.618 0.871 0.244
0.119 0.377 0.242
0.871 0.618 0.244
0.499 0.499 0.000
0.749 0.749 0.999
0.999 0.999 0.997
0.251 0.251 0.000
0.373 0.622 0.749
0.875 0.125 0.751
0.125 0.875 0.751
0.622 0.373 0.749
0.249 0.750 0.500
0.499 0.000 0.501
0.750 0.249 0.500
0.000 0.499 0.501
0.874 0.123 0.250
0.626 0.375 0.251
0.375 0.626 0.251
0.123 0.874 0.250
0.247 0.005 0.990
0.738 0.502 0.992
0.005 0.247 0.990
0.502 0.738 0.992
0.383 0.383 0.760
0.882 0.882 0.747
0.615 0.615 0.751
0.124 0.124 0.755
0.364 0.861 0.742
0.623 0.128 0.742
0.861 0.364 0.742
0.128 0.623 0.742
0.743 0.009 0.507
0.247 0.512 0.506
0.009 0.743 0.507
0.512 0.247 0.506
0.990 0.253 0.493
0.489 0.753 0.494
0.253 0.990 0.493
0.753 0.489 0.494
0.135 0.636 0.259
0.374 0.871 0.259
0.636 0.135 0.259
0.871 0.374 0.259
0.876 0.876 0.244
0.383 0.383 0.248
0.614 0.614 0.240
0.115 0.115 0.246
0.261 0.499 0.011
0.753 0.994 0.010
0.994 0.753 0.010
0.499 0.261 0.011
```

Calculated values
Space group: No. 8
E (eV per atom): -6.85

# 5
VASP calculation (PBE with a Hubbard U) on an optimized crystal structure of Li8VO6.

```
Li8VO6
1.0
-1.278 -1.529 -5.008
2.646 -3.432 3.218
-8.759 -1.544 5.563
Li V O
16 2 12
direct
0.333 0.155 0.510
0.361 0.684 0.011
0.639 0.316 0.989
0.667 0.845 0.490
0.239 0.309 0.821
0.235 0.816 0.322
0.104 0.911 0.679
0.098 0.416 0.173
0.489 0.570 0.675
0.491 0.083 0.180
0.509 0.917 0.820
0.511 0.430 0.325
0.902 0.584 0.827
0.896 0.089 0.321
0.765 0.184 0.678
0.761 0.691 0.179
0.000 0.500 0.500
0.000 0.000 0.000
0.090 0.237 0.618
0.090 0.753 0.116
0.232 0.967 0.881
0.222 0.473 0.385
0.621 0.647 0.883
0.619 0.151 0.383
0.381 0.849 0.617
0.379 0.353 0.117
0.778 0.527 0.615
0.768 0.033 0.119
0.910 0.247 0.884
0.910 0.763 0.382
```

Calculated values
Space group: No. 2
Excess energy over the best structure of this formula in the dataset (eV per atom): 0.0000

# 6
VASP calculation (PBE with a Hubbard U) on an optimized crystal structure of LiVO3.

```
LiVO3
1.0
-7.446 2.660 0.390
-1.769 -4.319 -6.395
-3.549 -4.257 1.409
Li V O
4 4 12
direct
0.288 0.712 0.750
0.712 0.288 0.250
0.716 0.284 0.750
0.284 0.716 0.250
0.870 0.691 0.742
0.130 0.309 0.258
0.309 0.130 0.758
0.691 0.870 0.242
0.318 0.906 0.891
0.094 0.682 0.609
0.682 0.094 0.109
0.249 0.521 0.112
0.168 0.205 0.013
0.521 0.249 0.612
0.906 0.318 0.391
0.479 0.751 0.388
0.795 0.832 0.487
0.751 0.479 0.888
0.205 0.168 0.513
0.832 0.795 0.987
```

Calculated values
Space group: No. 15
E (eV per atom): -6.86

# 7
VASP calculation (PBE with a Hubbard U) on an optimized crystal structure of LiV4O10.

```
LiV4O10
1.0
-0.663 -4.829 3.277
-3.322 -4.420 -3.885
4.659 -5.647 -2.090
Li V O
1 4 10
direct
0.688 0.974 0.873
0.135 0.703 0.573
0.857 0.293 0.427
0.713 0.855 0.356
0.295 0.132 0.631
0.028 0.822 0.363
0.939 0.172 0.645
0.366 0.865 0.537
0.642 0.132 0.435
0.895 0.720 0.774
0.116 0.281 0.244
0.716 0.951 0.128
0.346 0.039 0.844
0.257 0.441 0.576
0.726 0.571 0.408
```

Calculated values
Space group: No. 1
Excess energy over the best structure of this formula in the dataset (eV per atom): 0.0000

# 8
VASP calculation (PBE with a Hubbard U) on an optimized crystal structure of LiVO3.

```
LiVO3
1.0
-3.646 3.338 0.334
0.821 -2.736 4.048
2.007 3.591 3.458
Li V O
2 2 6
direct
0.506 0.494 0.500
0.869 0.131 0.500
0.322 0.678 0.000
0.673 0.327 0.000
0.674 0.686 0.765
0.314 0.326 0.235
0.903 0.525 0.219
0.475 0.097 0.781
0.536 0.916 0.211
0.084 0.464 0.789
```

Calculated values
Space group: No. 5
E (eV per atom): -6.77